Entry 1:
5
Lattice="-2.5831 -2.6229 -3.2830 -2.3219 -2.3211 3.6813 -3.5659 3.5362 -0.0195" Properties=species:S:1:pos:R:3 comment="TeIrSe2Br PBE-GGA relaxed" total_magnetization_mub_per_fu=0.0 de_polymorph_ev_per_fu=0.00 raw_formation_energy_ev_per_atom=0.405 pbc="T T T"
Ir 0.0000 0.0000 0.0000
Te -4.2355 -0.7039 0.1894
Se -1.1609 -1.1606 1.8407
Se -1.2916 -1.3115 -1.6415
Br -1.7830 1.7681 -0.0097

=====

Entry 2:
5
Lattice="4.9006 0.0000 0.0000 0.0000 5.1074 0.0000 0.0000 0.0000 4.9006" Properties=species:S:1:pos:R:3 comment="CaScNbPd2 PBE-GGA relaxed" total_magnetization_mub_per_fu=0.0 delta_e_f_ev_per_atom=0.6498 pbc="T T T"
Sc 2.4503 2.5537 2.4503
Nb 0.0000 0.0000 0.0000
Ca 0.0000 2.5537 0.0000
Pd 0.0000 0.0000 2.4503
Pd 2.4503 0.0000 0.0000

=====

Entry 3:
4
Lattice="9.0137 -0.0777 -0.0457 8.4809 3.0541 -0.0457 8.4809 1.4429 2.6922" Properties=species:S:1:pos:R:3 comment="MgZn2Cd PBE-GGA relaxed" total_magnetization_mub_per_fu=0.0 de_polymorph_ev_per_fu=0.36 delta_e_f_ev_per_atom=0.0553 pbc="T T T"
Cd 6.4938 1.1048 0.6502
Mg 19.4815 3.3144 1.9505
Zn 0.0242 0.0041 0.0024
Zn 12.9635 2.2055 1.2979

=====

Entry 4:
32
Lattice="7.3014 0.1481 0.2975 0.2694 8.8844 -0.1948 0.4169 -0.1747 8.4817" Properties=species:S:1:pos:R:3 comment="H3S PBE-GGA relaxed" dft_energy_ev_per_atom=-3.680 total_magnetization_mub_per_fu=0.0 pbc="T T T"
H 5.3109 0.2366 4.8783
H 1.2545 6.2763 2.1122
H 4.7953 5.5634 8.2210
H 4.2579 4.4232 2.1744
H 1.8145 2.5373 0.9160
H 2.2554 7.1801 0.7042
H 1.2061 3.3097 8.0264
H 1.8157 0.2034 7.2032
H 7.0333 7.8829 5.0255
H 1.9121 0.4686 3.0608
H 2.9772 2.1001 3.3766
H 7.2312 2.1525 5.9932
H 5.7207 6.4771 6.7614
H 3.1648 7.7991 6.0162
H 5.2789 2.9795 1.3485
H 6.0354 3.4900 6.7924
H 6.6494 0.1743 1.6854
H 3.7101 0.5115 0.9124
H 4.2833 0.1185 0.6287
H 6.9075 0.6742 1.1875
H 7.5077 4.8499 4.3559
H 0.6768 5.0062 4.5594
H 3.4160 4.5814 5.4361
H 3.5394 5.1905 5.0145
S 2.5009 6.7757 1.9784
S 5.1775 3.5174 2.5834
S 6.0775 5.8559 7.9133
S 2.4093 2.6996 8.0869
S 1.9938 7.7688 6.6915
S 5.8431 7.8271 4.3810
S 6.0754 2.1327 6.6978
S 1.6599 1.7718 3.3466

=====

Entry 5:
12
Lattice="5.9531 0.0000 -0.1727 0.0000 5.9192 0.0000 -0.0854 0.0000 5.9539" Properties=species:S:1:pos:R:3 comment="NiAs4Os PBE-GGA relaxed" total_magnetization_mub_per_fu=0.0 de_polymorph_ev_per_fu=0.00 delta_e_f_ev_per_atom=-0.0465 pbc="T T T"
Ni 0.0000 0.0000 0.0000
Ni 2.9766 2.9596 -0.0863
As 5.2495 3.7149 0.5441
As 3.5947 0.7553 5.1508
As 2.1815 2.2511 2.1781
As 0.7096 5.2107 3.6895
As 0.6181 2.2043 5.2371
As 2.2730 5.1639 0.6304
As 3.6862 3.6681 3.6032
As 5.1581 0.7085 2.0917
Os 2.9338 0.0000 2.8906
Os -0.0427 2.9596 2.9769

=====

Entry 6:
3
Lattice="3.1347 0.0000 0.0000 0.0000 3.1347 0.0000 -1.5673 -1.5673 6.1907" Properties=species:S:1:pos:R:3 comment="NpCdRh PBE-GGA relaxed" total_magnetization_mub_per_fu=3.9 de_polymorph_ev_per_fu=0.47 delta_e_f_ev_per_atom=-0.0695 pbc="T T T"
Np 0.0000 0.0000 3.8724
Rh 1.5673 1.5673 2.0912
Cd 0.0000 0.0000 0.2271

=====

Entry 7:
4
Lattice="4.1036 0.0125 0.0000 -0.0136 4.1036 0.0000 0.0000 0.0000 10.3229" Properties=species:S:1:pos:R:3 comment="KPb PBE-GGA relaxed" total_magnetization_mub_per_fu=0.0 de_polymorph_ev_per_fu=0.33 delta_e_f_ev_per_atom=-0.0739 pbc="T T T"
K 0.0000 0.0000 0.6825
K 2.0450 2.0580 7.0597
Pb 0.0000 0.0000 4.6513
Pb 2.0450 2.0580 3.0909

=====

Entry 8:
19
Lattice="8.2686 0.6622 0.7933 -0.5990 8.2734 0.7933 -0.5990 -0.6978 8.2820" Properties=species:S:1:pos:R:3 comment="PrSm12In6 PBE-GGA relaxed" total_magnetization_mub_per_fu=0.0 delta_e_f_ev_per_atom=-0.2219 pbc="T T T"
Pr 0.0000 0.0000 0.0000
Sm 6.1003 4.6085 4.6418
Sm 2.7755 6.5974 5.3638
Sm 3.6304 3.3648 7.4496
Sm 0.9703 3.6293 5.2269
Sm 4.2952 1.6405 4.5049
Sm 3.4403 4.8730 2.4191
Sm 0.3305 0.8082 3.3567
Sm 6.3220 5.0154 8.8269
Sm 3.9990 7.4324 8.4737
Sm 6.7402 7.4297 6.5120
Sm 0.7487 3.2224 1.0418
Sm 3.0717 0.8055 1.3950
In 5.2769 7.5531 3.4182
In 5.8804 2.7167 1.8264
In 0.4049 6.0113 2.9993
In 1.7938 0.6847 6.4505
In 1.1903 5.5212 8.0423
In 6.6658 2.2266 6.8694